[1]
VASP calculation (SCAN) on a crystal of SrCaSb2 relaxed with PBEsol.

```
4
Lattice="4.7658 -0.0034 -0.4324 0.0029 4.4853 -0.0035 -2.9249 -2.2363 6.1727" Properties=species:S:1:pos:R:3 pbc="T T T"
Sb 4.1880 -0.0017 -0.0846
Sb 2.7042 -0.0007 2.4199
Ca 0.2618 2.2440 2.9522
Sr -1.0852 0.0058 5.9709
```

Properties
As for the uncorrected energy: -110.22 eV for the cell shown. For the magnetization, the calculation gives 0.0000 μB/atom. For the formation energy without anion corrections, the calculation gives -941 meV/atom. The value obtained for the excess energy over the best structure of this formula in the dataset is 0.0000 eV per atom.

=====

[2]
VASP calculation (SCAN) on a crystal of Li4Nb3Cr5O16 relaxed with PBEsol.

```
28
Lattice="5.8602 0.0000 0.0000 -2.9301 5.0802 0.0040 0.0000 -0.0518 9.6198" Properties=species:S:1:pos:R:3 pbc="T T T"
Li 0.0000 3.3576 8.6678
Li 2.9301 4.8804 9.5857
Li 2.9301 4.9260 4.7555
Li 2.9301 1.6759 3.7035
Nb 0.0000 1.7062 2.0333
Nb 1.5710 0.8480 6.8384
Nb 4.2891 0.8480 6.8384
Cr -1.4367 4.1890 2.0645
Cr 0.0000 3.3756 4.6224
Cr 1.4367 4.1890 2.0645
Cr 2.9301 3.3183 6.8759
Cr 2.9301 1.6656 9.5256
O -1.4605 4.2144 5.7873
O 0.0000 4.8465 3.2433
O 0.0000 3.4027 0.9760
O 2.9301 5.0147 3.0050
O 2.9301 4.9768 7.8336
O 1.4605 4.2144 5.7873
O -1.2947 2.6395 3.3013
O 1.2946 2.6395 3.3013
O 2.9301 3.3897 1.0044
O 0.0000 1.7049 5.7314
O 1.6508 2.4270 8.1232
O 4.2094 2.4270 8.1232
O 2.9301 1.8280 5.6252
O 1.4638 0.8456 0.9763
O 2.9301 0.1323 8.2555
O 4.3964 0.8456 0.9763
```

Properties
As for the uncorrected energy: -371.28 eV for the cell shown. For the magnetization, the calculation gives 0.5347 μB/atom. For the formation energy without anion corrections, the calculation gives -2525 meV/atom.

=====

[3]
VASP calculation (SCAN) on a crystal of PWS2N relaxed with PBEsol.

```
5
Lattice="3.8126 0.0000 0.0000 0.0000 4.0225 0.0000 0.0000 0.0000 4.0225" Properties=species:S:1:pos:R:3 pbc="T T T"
P 1.9063 0.0000 0.0000
S 0.0000 0.0000 2.0113
S 0.0000 2.0113 0.0000
W 1.9063 2.0113 2.0113
N 0.0000 0.0000 0.0000
```

Properties
As for the uncorrected energy: -102.08 eV for the cell shown. For the magnetization, the calculation gives 0.0005 μB/atom. For the formation energy without anion corrections, the calculation gives 1312 meV/atom.

=====

[4]
VASP calculation (SCAN) on a crystal of YSb2BrF relaxed with PBEsol.

```
5
Lattice="-0.2816 2.7810 -3.0066 -2.4057 -4.1730 -3.6346 -5.5184 1.5125 1.9160" Properties=species:S:1:pos:R:3 pbc="T T T"
Y 0.0000 0.0000 0.0000
Sb -2.7592 0.7563 0.9580
Sb -1.2028 -2.0865 -1.8173
Br -4.1029 0.0603 -2.3626
F -0.1408 1.3905 -1.5033
```

Properties
As for the uncorrected energy: -130.13 eV for the cell shown. For the magnetization, the calculation gives 0.0000 μB/atom. For the formation energy without anion corrections, the calculation gives -953 meV/atom.

=====

[5]
VASP calculation (SCAN) on a crystal of K2ReP relaxed with PBEsol.

```
4
Lattice="3.2097 0.0000 0.0000 0.0000 3.2097 0.0000 0.0000 0.0000 10.0726" Properties=species:S:1:pos:R:3 pbc="T T T"
K 0.0000 0.0000 9.2080
K 1.6049 1.6049 3.4460
P 0.0000 0.0000 5.8564
Re 1.6049 1.6049 6.6712
```

Properties
As for the uncorrected energy: -96.99 eV for the cell shown. For the magnetization, the calculation gives 0.0089 μB/atom. The value obtained for the excess energy over the best structure of this formula in the dataset is 0.0000 eV per atom. The energy of formation comes out at 0.290 eV/atom.

=====

[6]
VASP calculation (SCAN) on a crystal of Be2AlRe relaxed with PBEsol.

```
4
Lattice="-2.7428 -0.8451 1.7341 -0.3485 -2.7477 -1.8903 3.7852 -0.2413 2.6273" Properties=species:S:1:pos:R:3 pbc="T T T"
Re 0.0000 0.0000 0.0000
Al 0.9455 -2.3927 0.3294
Be -1.5456 -1.7964 -0.0781
Be -0.2516 -1.4415 2.1416
```

Properties
As for the uncorrected energy: -88.91 eV for the cell shown. For the magnetization, the calculation gives 0.0000 μB/atom. The energy of formation comes out at -0.337 eV/atom.

=====

> The highest uncorrected energy belongs to which entry?

Be2AlRe